No. 1
K2HoFeO4: relaxed, PBE+U.

Computed properties:
space-group type = No. 74
final energy = -96.31 eV for the cell shown
calculated volume = 14.35 Å³ per atom

Geometry as POSCAR:
```
K2HoFeO4
1.0
-3.383 3.503 4.846
3.383 -3.503 4.846
3.383 3.503 -4.846
K Ho Fe O
4 2 2 8
direct
0.000 0.000 0.000
0.500 0.000 0.000
0.500 0.000 0.500
0.500 0.500 0.500
0.000 0.500 0.500
0.500 0.500 0.000
0.000 0.000 0.500
0.000 0.500 0.000
0.185 0.736 0.449
0.214 0.264 0.949
0.222 0.256 0.534
0.222 0.688 0.966
0.778 0.312 0.034
0.778 0.744 0.466
0.786 0.736 0.051
0.815 0.264 0.551
```


No. 2
KHoFeO3: relaxed, PBE+U.

Computed properties:
space-group type = No. 11
final energy = -78.50 eV for the cell shown
calculated volume = 19.07 Å³ per atom

Geometry as POSCAR:
```
KHoFeO3
1.0
7.256 0.000 0.000
0.000 3.525 0.000
-3.424 0.000 8.950
K Ho Fe O
2 2 2 6
direct
0.040 0.250 0.332
0.960 0.750 0.668
0.464 0.750 0.640
0.536 0.250 0.360
0.424 0.250 0.882
0.576 0.750 0.118
0.260 0.250 0.666
0.355 0.750 0.390
0.421 0.250 0.098
0.579 0.750 0.902
0.645 0.250 0.610
0.740 0.750 0.334
```


No. 3
K4Ho3FeO8: relaxed, PBE+U.

Computed properties:
space-group type = No. 166
final energy = -102.10 eV for the cell shown
calculated volume = 15.44 Å³ per atom

Geometry as POSCAR:
```
K4Ho3FeO8
1.0
3.385 1.954 6.225
-3.385 1.954 6.225
0.000 -3.909 6.225
K Ho Fe O
4 3 1 8
direct
0.000 0.000 0.000
0.000 0.500 0.500
0.500 0.000 0.500
0.500 0.500 0.000
0.000 0.000 0.500
0.000 0.500 0.000
0.500 0.000 0.000
0.500 0.500 0.500
0.229 0.229 0.229
0.243 0.719 0.719
0.281 0.281 0.757
0.281 0.757 0.281
0.719 0.243 0.719
0.719 0.719 0.243
0.757 0.281 0.281
0.771 0.771 0.771
```


- Which of these has the highest final energy?
  KHoFeO3


- Which of these has the highest final energy?
  KHoFeO3


Please write out number 2 again, unchanged.
KHoFeO3: relaxed, PBE+U.

Computed properties:
space-group type = No. 11
final energy = -78.50 eV for the cell shown
calculated volume = 19.07 Å³ per atom

Geometry as POSCAR:
```
KHoFeO3
1.0
7.256 0.000 0.000
0.000 3.525 0.000
-3.424 0.000 8.950
K Ho Fe O
2 2 2 6
direct
0.040 0.250 0.332
0.960 0.750 0.668
0.464 0.750 0.640
0.536 0.250 0.360
0.424 0.250 0.882
0.576 0.750 0.118
0.260 0.250 0.666
0.355 0.750 0.390
0.421 0.250 0.098
0.579 0.750 0.902
0.645 0.250 0.610
0.740 0.750 0.334
```


- What is the final energy in the third record?
  -102.10 eV for the cell shown